[1]
The following is a PBE-GGA calculation of a relaxed structure of AgPt2Au6, from Alexandria via LeMat-Bulk.

The structure belongs to space group R3m (No. 160, hexagonal axes); the cell edges are 5.4721, 5.4721 and 20.9919 Å and the angles 90.00°, 90.00° and 120.00°. Symmetry generates all atoms from Ag at (0.0000, 0.0000, 0.0000), Pt at (0.0000, 0.0000, 0.3783), Pt at (0.0000, 0.0000, 0.5011), Au at (0.0000, 0.5000, 0.9394) and Au at (0.0012, 0.5006, 0.4518).

The value obtained for the distance to the lowest polymorph of the same formula is 6.7 kJ/mol of atoms. For the total energy, the calculation gives -3.6657 eV/atom.

=====

[2]
The following is a PBE-GGA calculation of a relaxed structure of LiSc2Pd, from Alexandria via LeMat-Bulk.

The structure belongs to space group R3m (No. 160, hexagonal axes); the cell edges are 3.8515, 3.8515 and 21.9399 Å and the angles 90.00°, 90.00° and 120.00°. Symmetry generates all atoms from Li at (0.0000, 0.0000, 0.0000), Sc at (0.0000, 0.0000, 0.5625), Sc at (0.0000, 0.0000, 0.7652) and Pd at (0.0000, 0.0000, 0.1631).

For the total energy, the calculation gives -5.0924 eV/atom.

=====

[3]
The following is a PBE-GGA calculation of a relaxed structure of NaAcIrO6, from Alexandria via LeMat-Bulk.

The structure belongs to space group P-31c (No. 163); the cell edges are 6.0283, 6.0283 and 8.0558 Å and the angles 90.00°, 90.00° and 120.00°. Symmetry generates all atoms from Na at (0.0000, 0.0000, 0.0000), Ac at (0.3333, 0.6667, 0.2500), Ir at (0.3333, 0.6667, 0.7500) and O at (0.0753, 0.4016, 0.6182).

The value obtained for the formation energy from raw total energies is -1255 kJ/mol of formula units. For the total energy, the calculation gives -6.3386 eV/atom.

=====

[4]
The following is a PBE-GGA calculation of a relaxed structure of Ac8Pt3RhI4, from Alexandria via LeMat-Bulk.

The structure belongs to space group C2/m (No. 12); the cell edges are 15.428, 8.908 and 10.058 Å and the angles 90.00°, 120.82° and 90.00°. Symmetry generates all atoms from Ac at (0.020, 0.247, 0.315), Ac at (0.226, 0.000, 0.685), Ac at (0.229, 0.500, 0.686), Pt at (0.000, 0.500, 0.500), Pt at (0.250, 0.250, 0.500), Rh at (0.000, 0.000, 0.500), I at (0.000, 0.000, 0.000), I at (0.000, 0.500, 0.000) and I at (0.250, 0.250, 0.000).

The value obtained for the formation energy from raw total energies is -1821 kJ/mol of formula units. For the total energy, the calculation gives -5.2137 eV/atom.

=====

[5]
The following is a PBE-GGA calculation of a relaxed structure of KPuZnTe3, from Alexandria via LeMat-Bulk.

The structure belongs to space group P2_1/m (No. 11); the cell edges are 9.652, 4.446 and 10.545 Å and the angles 90.00°, 107.56° and 90.00°. Symmetry generates all atoms from K at (0.214, 0.250, 0.242), Pu at (0.322, 0.750, 0.857), Zn at (0.085, 0.250, 0.609), Te at (0.095, 0.250, 0.862), Te at (0.208, 0.750, 0.534) and Te at (0.462, 0.750, 0.163).

The value obtained for the formation energy from raw total energies is -503 kJ/mol of formula units. For the total energy, the calculation gives -5.2236 eV/atom.

=====

[6]
The following is a PBE-GGA calculation of a relaxed structure of Ac2Pt9Au, from Alexandria via LeMat-Bulk.

The structure belongs to space group R-3m (No. 166, hexagonal axes); the cell edges are 5.5410, 5.5410 and 26.7690 Å and the angles 90.00°, 90.00° and 120.00°. Symmetry generates all atoms from Ac at (0.0000, 0.0000, 0.1331), Pt at (0.0000, 0.0000, 0.3323), Pt at (0.0000, 0.0000, 0.5000), Pt at (0.0034, 0.5017, 0.9175) and Au at (0.0000, 0.0000, 0.0000).

For the total energy, the calculation gives -6.0197 eV/atom.

=====

[7]
The following is a PBE-GGA calculation of a relaxed structure of Ta3NiPt, from Alexandria via LeMat-Bulk.

The structure belongs to space group Pm-3m (No. 221); the cell edges are 4.541, 4.541 and 4.541 Å and the angles 90.00°, 90.00° and 90.00°. Symmetry generates all atoms from Ta at (0.000, 0.000, 0.500), Ni at (0.000, 0.000, 0.000) and Pt at (0.500, 0.500, 0.500).

The value obtained for the distance to the lowest polymorph of the same formula is 0.0 kJ/mol of atoms. For the total energy, the calculation gives -8.7830 eV/atom.